VASP calculation (PBE) on a geometry-optimized CsSbICl2 structure.

The space group is P4/mmm (No. 123) and the conventional cell measures 5.533, 5.533 and 6.409 Å, with angles of 90.00, 90.00 and 90.00 degrees. The asymmetric unit holds Cs at (0.000, 0.000, 0.000), Sb at (0.500, 0.500, 0.500), I at (0.500, 0.500, 0.000) and Cl at (0.000, 0.500, 0.500).

As for the uncorrected formation energy: -0.99 eV/atom.

VASP calculation (PBE) on a geometry-optimized CsPu2HgI8 structure.

The space group is P-1 (No. 2) and the conventional cell measures 7.559, 9.106 and 9.155 Å, with angles of 90.13, 91.28 and 90.15 degrees. The asymmetric unit holds Cs at (0.000, 0.000, 0.000), Pu at (0.500, 0.252, 0.500), Hg at (0.000, 0.500, 0.000), I at (0.248, 0.999, 0.396), I at (0.249, 0.499, 0.394), I at (0.330, 0.253, 0.790) and I at (0.330, 0.747, 0.790).

As for the uncorrected formation energy: -0.95 eV/atom.

VASP calculation (PBE) on a geometry-optimized Ba2Sb2Ir structure.

The space group is I4/mmm (No. 139) and the conventional cell measures 4.176, 4.176 and 19.573 Å, with angles of 90.00, 90.00 and 90.00 degrees. The asymmetric unit holds Ba at (0.000, 0.000, 0.090), Sb at (0.000, 0.500, 0.250) and Ir at (0.000, 0.000, 0.500).

As for the uncorrected formation energy: -0.12 eV/atom. As for the excess energy over the best structure of this formula in the dataset: 390 meV per atom.

VASP calculation (PBE) on a geometry-optimized NaSrPr2O4 structure.

The space group is P2/m (No. 10) and the conventional cell measures 6.200, 3.608 and 6.260 Å, with angles of 90.00, 109.07 and 90.00 degrees. The asymmetric unit holds Na at (0.000, 0.000, 0.000), Sr at (0.500, 0.500, 0.000), Pr at (0.000, 0.500, 0.500), Pr at (0.500, 0.000, 0.500), O at (0.247, 0.000, 0.738) and O at (0.261, 0.500, 0.272).

As for the uncorrected formation energy: -2.60 eV/atom.

VASP calculation (PBE) on a geometry-optimized ZrAgSn structure.

The space group is P-6m2 (No. 187) and the conventional cell measures 4.7198, 4.7198 and 3.2606 Å, with angles of 90.00, 90.00 and 120.00 degrees. The asymmetric unit holds Zr at (0.0000, 0.0000, 0.0000), Ag at (0.3333, 0.6667, 0.5000) and Sn at (0.6667, 0.3333, 0.5000).

The value obtained for the formation enthalpy at 0 K is -0.750 eV/f.u.

VASP calculation (PBE) on a geometry-optimized AlInTc2 structure.

The space group is Immm (No. 71) and the conventional cell measures 3.187, 4.665 and 8.666 Å, with angles of 90.00, 90.00 and 90.00 degrees. The asymmetric unit holds Al at (0.000, 0.000, 0.000), In at (0.000, 0.000, 0.500) and Tc at (0.000, 0.500, 0.266).

The value obtained for the formation enthalpy at 0 K is 0.706 eV/f.u. As for the excess energy over the best structure of this formula in the dataset: 234 meV per atom.

VASP calculation (PBE) on a geometry-optimized BeAl2Tl2 structure.

The space group is P4/mbm (No. 127) and the conventional cell measures 6.434, 6.434 and 5.271 Å, with angles of 90.00, 90.00 and 90.00 degrees. The asymmetric unit holds Be at (0.000, 0.000, 0.000), Al at (0.151, 0.349, 0.000) and Tl at (0.178, 0.678, 0.500).

The value obtained for the formation enthalpy at 0 K is 1.873 eV/f.u. As for the excess energy over the best structure of this formula in the dataset: 0 meV per atom.

What did the seventh record say?
VASP calculation (PBE) on a geometry-optimized BeAl2Tl2 structure.

The space group is P4/mbm (No. 127) and the conventional cell measures 6.434, 6.434 and 5.271 Å, with angles of 90.00, 90.00 and 90.00 degrees. The asymmetric unit holds Be at (0.000, 0.000, 0.000), Al at (0.151, 0.349, 0.000) and Tl at (0.178, 0.678, 0.500).

The value obtained for the formation enthalpy at 0 K is 1.873 eV/f.u. As for the excess energy over the best structure of this formula in the dataset: 0 meV per atom.